An optimized crystal structure of OsC, computed with PBE.

a = 2.8865 Å, b = 2.8865 Å, c = 11.8175 Å
α = 90.00°, β = 90.00°, γ = 90.00°
With the nearest neighbours (Å) after each atom.
Space group I4_1/amd (No. 141, origin choice 2)
One atom of each set of equivalent atoms:
Os: 0.0000 0.2500 0.3750 [4 per cell]  4 C 2.04
C: 0.0000 0.2500 0.8750 [4 per cell]  4 Os 2.04

An optimized crystal structure of OsC5, computed with PBE.

a = 2.6072 Å, b = 2.6086 Å, c = 15.8454 Å
α = 90.00°, β = 90.00°, γ = 90.00°
With the nearest neighbours (Å) after each atom.
Space group Amm2 (No. 38)
One atom of each set of equivalent atoms:
Os: 0.0000 0.0000 0.0000 [2 per cell]  4 C 1.95-2.11
C: 0.0000 0.0000 0.3951 [2 per cell]  2 C 1.54
C: 0.0000 0.0000 0.7359 [2 per cell]  2 C 1.50
C: 0.5000 0.0000 0.0917 [2 per cell]  2 Os 1.95
C: 0.5000 0.0000 0.3436 [2 per cell]  4 C 1.54-1.63
C: 0.5000 0.0000 0.7824 [2 per cell]  4 C 1.50-1.63

An optimized crystal structure of Os5C4, computed with PBE.

a = 6.0106 Å, b = 6.0106 Å, c = 6.2767 Å
α = 90.00°, β = 90.00°, γ = 120.00°
With the nearest neighbours (Å) after each atom.
Space group P6_3/mcm (No. 193)
One atom of each set of equivalent atoms:
Os: 0.0000 0.2557 0.2500 [6 per cell]  5 C 1.97-2.20
Os: 0.3333 0.6667 0.0000 [4 per cell]  6 C 2.39
C: 0.0000 0.0000 0.0000 [2 per cell]  6 Os 2.20
C: 0.0000 0.4159 0.7500 [6 per cell]  3 Os 1.97-2.18

An optimized crystal structure of OsC, computed with PBE.

a = 6.3429 Å, b = 8.5761 Å, c = 9.4805 Å
α = 90.00°, β = 90.00°, γ = 90.00°
With the nearest neighbours (Å) after each atom.
Space group Fddd (No. 70, origin choice 2)
One atom of each set of equivalent atoms:
Os: 0.1250 0.1250 0.2655 [16 per cell]  4 C 1.97-2.08
C: 0.1250 0.3105 0.1250 [16 per cell]  4 Os 1.97-2.08

An optimized crystal structure of Os4C3, computed with PBE.

a = 4.2741 Å, b = 4.2741 Å, c = 4.2741 Å
α = 90.00°, β = 90.00°, γ = 90.00°
With the nearest neighbours (Å) after each atom.
Space group Pm-3m (No. 221)
One atom of each set of equivalent atoms:
Os: 0.0000 0.0000 0.0000 [1 per cell]  6 C 2.14
Os: 0.0000 0.5000 0.5000 [3 per cell]  4 C 2.14
C: 0.0000 0.0000 0.5000 [3 per cell]  6 Os 2.14

An optimized crystal structure of OsC, computed with PBE.

a = 9.4458 Å, b = 2.7986 Å, c = 5.4511 Å
α = 90.00°, β = 113.40°, γ = 90.00°
With the nearest neighbours (Å) after each atom.
Space group Cm (No. 8)
One atom of each set of equivalent atoms:
Os: 0.0000 0.0000 0.0000 [2 per cell]  5 C 2.09-2.17
Os: 0.1306 0.5000 0.6557 [2 per cell]  3 C 2.09-2.11
Os: 0.3190 0.0000 0.4317 [2 per cell]  5 C 2.04-2.11
C: 0.1376 0.5000 0.2779 [2 per cell]  5 Os 2.09-2.11
C: 0.3128 0.0000 0.8049 [2 per cell]  5 Os 2.06-2.17
C: 0.4463 0.5000 0.3363 [2 per cell]  3 Os 2.04-2.09

| no. | formation energy from the elements (meV/atom) |
| --- | --- |
| 1 | 1462 |
| 2 | 1488 |
| 3 | 1090 |
| 4 | 877 |
| 5 | 1227 |
| 6 | 1006 |